## w
Material: TlCd2Hg8
Method: DFT, GGA-PBE
State: optimized geometry

Results
space-group type: C2/m, No. 12

Cell: 9.6536 9.6536 8.6842 Å, 99.08 99.08 21.47°
Fractional positions:
Tl 0.0000 0.0000 0.0000
Cd 0.2762 0.2762 0.1821
Cd 0.7238 0.7238 0.8179
Hg 0.0949 0.0949 0.7094
Hg 0.1825 0.1825 0.4384
Hg 0.3563 0.3563 0.9069
Hg 0.4575 0.4575 0.6456
Hg 0.5425 0.5425 0.3544
Hg 0.6437 0.6437 0.0931
Hg 0.8175 0.8175 0.5616
Hg 0.9051 0.9051 0.2906

## x
Material: TlCd2Hg8
Method: DFT, GGA-PBE
State: optimized geometry

Results
space-group type: C2/m, No. 12

Cell: 8.0543 8.0543 5.6338 Å, 97.62 97.62 117.95°
Fractional positions:
Tl 0.0000 0.0000 0.0000
Cd 0.3113 0.6887 0.5000
Cd 0.6887 0.3113 0.5000
Hg 0.0795 0.3110 0.6442
Hg 0.2439 0.7561 0.0000
Hg 0.3110 0.0795 0.6442
Hg 0.3932 0.3932 0.1976
Hg 0.6068 0.6068 0.8024
Hg 0.6890 0.9205 0.3558
Hg 0.7561 0.2439 0.0000
Hg 0.9205 0.6890 0.3558

w is the most stable structure; the next one sits 0.008 eV/atom above it.

## w
Material: Tl6Cd2Hg
Method: DFT, GGA-PBE
State: optimized geometry

Results
space-group type: P-6m2, No. 187

Cell: 3.4142 3.4142 25.9058 Å, 90.00 90.00 120.00°
Fractional positions:
Tl 0.0000 0.0000 0.0639
Tl 0.0000 0.0000 0.2755
Tl 0.0000 0.0000 0.7245
Tl 0.0000 0.0000 0.9361
Tl 0.3333 0.6667 0.3912
Tl 0.3333 0.6667 0.6088
Cd 0.3333 0.6667 0.1700
Cd 0.3333 0.6667 0.8300
Hg 0.0000 0.0000 0.5000

## x
Material: Tl6Cd2Hg
Method: DFT, GGA-PBE
State: optimized geometry

Results
space-group type: P-62m, No. 189

Cell: 8.9405 8.9405 3.7955 Å, 90.00 90.00 120.00°
Fractional positions:
Tl 0.0000 0.3785 0.0000
Tl 0.0000 0.7122 0.5000
Tl 0.2878 0.2878 0.5000
Tl 0.3785 0.0000 0.0000
Tl 0.6215 0.6215 0.0000
Tl 0.7122 0.0000 0.5000
Cd 0.3333 0.6667 0.5000
Cd 0.6667 0.3333 0.5000
Hg 0.0000 0.0000 0.0000

x is the most stable structure; the next one sits 0.014 eV/atom above it.

## w
Material: Tl2Cd3Hg3
Method: DFT, GGA-PBE
State: optimized geometry

Results
space-group type: Pmmm, No. 47

Cell: 4.9826 5.0155 8.4926 Å, 90.00 90.00 90.00°
Fractional positions:
Tl 0.0000 0.0000 0.2488
Tl 0.0000 0.0000 0.7512
Cd 0.0000 0.5000 0.0000
Cd 0.5000 0.5000 0.2477
Cd 0.5000 0.5000 0.7523
Hg 0.0000 0.5000 0.5000
Hg 0.5000 0.0000 0.0000
Hg 0.5000 0.0000 0.5000

## x
Material: Tl2Cd3Hg3
Method: DFT, GGA-PBE
State: optimized geometry

Results
space-group type: Cmcm, No. 63

Cell: 8.9617 8.9617 14.5557 Å, 90.00 90.00 157.77°
Fractional positions:
Tl 0.2155 0.7845 0.5945
Tl 0.2155 0.7845 0.9055
Tl 0.7845 0.2155 0.0945
Tl 0.7845 0.2155 0.4055
Cd 0.2002 0.7998 0.2500
Cd 0.4420 0.5580 0.0804
Cd 0.4420 0.5580 0.4196
Cd 0.5580 0.4420 0.5804
Cd 0.5580 0.4420 0.9196
Cd 0.7998 0.2002 0.7500
Hg 0.0418 0.9582 0.7500
Hg 0.0947 0.9053 0.0958
Hg 0.0947 0.9053 0.4042
Hg 0.9053 0.0947 0.5958
Hg 0.9053 0.0947 0.9042
Hg 0.9582 0.0418 0.2500

w is the most stable structure; the next one sits 0.021 eV/atom above it.